Entry 1:
LaCdI2N: relaxed, GGA-PBEsol.

The structure belongs to space group P4/mmm (No. 123); the cell edges are 6.366, 6.366 and 4.128 Å and the angles 90.00°, 90.00° and 90.00°. Symmetry generates all atoms from La at (0.000, 0.000, 0.000), Cd at (0.500, 0.500, 0.500), I at (0.000, 0.500, 0.000) and N at (0.000, 0.000, 0.500).

The formation energy (no corrections) comes out at -272 meV per atom. The total energy is -19.97 eV per cell. The density of states at the Fermi level is 0.651 states/eV/atom. The density comes out at 5.15 Mg/m³. The value obtained for the volume is 33.46 Å³/atom. Its total magnetization is 0.001 Bohr magnetons per cell.


Entry 2:
Sc2BeTl: relaxed, GGA-PBEsol.

The structure belongs to space group P4mm (No. 99); the cell edges are 3.510, 3.510 and 6.422 Å and the angles 90.00°, 90.00° and 90.00°. Symmetry generates all atoms from Sc at (0.000, 0.000, 0.000), Sc at (0.500, 0.500, 0.274), Be at (0.500, 0.500, 0.782) and Tl at (0.000, 0.000, 0.549).

The value obtained for the formation energy is 0.1263 eV/atom. The total energy is -19.34 eV per cell. The density of states at the Fermi level is 0.899 states/eV/atom. The density comes out at 6.36 Mg/m³. The value obtained for the volume is 19.78 Å³/atom. For the distance to the lowest polymorph of the same formula, the calculation gives 248.5 meV per atom. Its total magnetization is 0.642 Bohr magnetons per cell.


Entry 3:
P2PtAu: relaxed, GGA-PBEsol.

The structure belongs to space group C2/m (No. 12); the cell edges are 5.946, 4.011 and 6.545 Å and the angles 90.00°, 95.13° and 90.00°. Symmetry generates all atoms from P at (0.124, 0.000, 0.344), Pt at (0.000, 0.500, 0.500) and Au at (0.000, 0.000, 0.000).

The value obtained for the formation energy is -0.1712 eV/atom. The total energy is -46.31 eV per cell. The density of states at the Fermi level is 0.263 states/eV/atom. The density comes out at 9.70 Mg/m³. The value obtained for the volume is 19.44 Å³/atom. For the distance to the lowest polymorph of the same formula, the calculation gives 0.0 meV per atom. Its total magnetization is 0.000 Bohr magnetons per cell.


Entry 4:
TaReSi: relaxed, GGA-PBEsol.

The structure belongs to space group P-62m (No. 189); the cell edges are 6.8425, 6.8425 and 3.2371 Å and the angles 90.00°, 90.00° and 120.00°. Symmetry generates all atoms from Ta at (0.0000, 0.6009, 0.0000), Re at (0.0000, 0.2623, 0.5000), Si at (0.0000, 0.0000, 0.0000) and Si at (0.3333, 0.6667, 0.5000).

The formation energy (no corrections) comes out at -522 meV per atom. The total energy is -99.58 eV per cell. The density of states at the Fermi level is 0.695 states/eV/atom. The density comes out at 15.00 Mg/m³. The value obtained for the volume is 14.58 Å³/atom. Its total magnetization is 0.000 Bohr magnetons per cell.


Entry 5:
LaAsSe2Cl: relaxed, GGA-PBEsol.

The structure belongs to space group P4/mmm (No. 123); the cell edges are 4.875, 4.875 and 4.969 Å and the angles 90.00°, 90.00° and 90.00°. Symmetry generates all atoms from La at (0.000, 0.000, 0.000), As at (0.500, 0.500, 0.000), Se at (0.000, 0.500, 0.500) and Cl at (0.500, 0.500, 0.500).

The formation energy (no corrections) comes out at -275 meV per atom. The total energy is -21.54 eV per cell. The density of states at the Fermi level is 0.861 states/eV/atom. The density comes out at 5.73 Mg/m³. The value obtained for the volume is 23.61 Å³/atom. Its total magnetization is 0.000 Bohr magnetons per cell.


Entry 6:
CaCuAu: relaxed, GGA-PBEsol.

The structure belongs to space group P-6m2 (No. 187); the cell edges are 4.3680, 4.3680 and 3.7012 Å and the angles 90.00°, 90.00° and 120.00°. Symmetry generates all atoms from Ca at (0.0000, 0.0000, 0.0000), Cu at (0.6667, 0.3333, 0.5000) and Au at (0.3333, 0.6667, 0.5000).

The value obtained for the formation energy is -0.4224 eV/atom. The total energy is -11.66 eV per cell. The density of states at the Fermi level is 0.305 states/eV/atom. The density comes out at 8.16 Mg/m³. The value obtained for the volume is 20.39 Å³/atom. Its total magnetization is 0.000 Bohr magnetons per cell.


Entry 7:
Tc2PRu: relaxed, GGA-PBEsol.

The structure belongs to space group Pmm2 (No. 25); the cell edges are 2.798, 3.762 and 5.093 Å and the angles 90.00°, 90.00° and 90.00°. Symmetry generates all atoms from Tc at (0.000, 0.000, 0.000), Tc at (0.500, 0.500, 0.204), P at (0.000, 0.000, 0.492) and Ru at (0.500, 0.500, 0.684).

The value obtained for the formation energy is -0.0096 eV/atom. The total energy is -38.54 eV per cell. The density of states at the Fermi level is 0.954 states/eV/atom. The density comes out at 10.16 Mg/m³. The value obtained for the volume is 13.40 Å³/atom. Its total magnetization is 0.000 Bohr magnetons per cell.


Entry 8:
FeRh2Cl: relaxed, GGA-PBEsol.

The structure belongs to space group Immm (No. 71); the cell edges are 2.742, 4.012 and 10.637 Å and the angles 90.00°, 90.00° and 90.00°. Symmetry generates all atoms from Fe at (0.000, 0.000, 0.000), Rh at (0.000, 0.500, 0.293) and Cl at (0.000, 0.000, 0.500).

The formation energy (no corrections) comes out at 491 meV per atom. The total energy is -50.57 eV per cell. The density of states at the Fermi level is 1.406 states/eV/atom. The density comes out at 8.43 Mg/m³. The value obtained for the volume is 14.63 Å³/atom. Its total magnetization is 7.618 Bohr magnetons per cell.